Here is a relaxed Y2ThSc crystal from Alexandria. Energies are from PBE.

The total energy comes out at -6.60 eV per atom. The value obtained for the formation energy is 68 meV/atom. The total moment comes out at 0.0 μB per formula unit. As for the density of states at the Fermi level: 17.5 states/eV per cell. The value obtained for the offset from the most stable computed form is 0.13 eV per formula unit.

The space group is R3m (No. 160, hexagonal axes) and the conventional cell measures 3.5227, 3.5227 and 33.9536 Å, with angles of 90.00, 90.00 and 120.00 degrees. The inequivalent atoms are Y at (0.0000, 0.0000, 0.0000), Y at (0.0000, 0.0000, 0.1733), Th at (0.0000, 0.0000, 0.7526) and Sc at (0.0000, 0.0000, 0.5872).

***

Here is a relaxed ZrSi2Hg crystal from Alexandria. Energies are from PBE.

The total energy comes out at -5.01 eV per atom. The total moment comes out at 0.0 μB per formula unit. As for the density of states at the Fermi level: 4.7 states/eV per cell. The value obtained for the offset from the most stable computed form is 0.07 eV per formula unit.

The space group is I-4m2 (No. 119) and the conventional cell measures 3.895, 3.895 and 9.526 Å, with angles of 90.00, 90.00 and 90.00 degrees. The inequivalent atoms are Zr at (0.000, 0.000, 0.000), Si at (0.000, 0.000, 0.500), Si at (0.000, 0.500, 0.250) and Hg at (0.000, 0.500, 0.750).

***

Here is a relaxed B5C7 crystal from Alexandria. Energies are from PBE.

The total energy comes out at -7.80 eV per atom. The value obtained for the formation energy is 368 meV/atom. The total moment comes out at 0.0 μB per formula unit. As for the density of states at the Fermi level: 6.8 states/eV per cell. The value obtained for the offset from the most stable computed form is 1.32 eV per formula unit.

The space group is C2 (No. 5) and the conventional cell measures 3.571, 12.352 and 3.570 Å, with angles of 90.00, 90.36 and 90.00 degrees. The inequivalent atoms are B at (0.000, 0.000, 0.000), B at (0.000, 0.202, 0.500), B at (0.000, 0.702, 0.000), B at (0.227, 0.596, 0.725), C at (0.000, 0.355, 0.000), C at (0.000, 0.499, 0.500), C at (0.000, 0.854, 0.500), C at (0.245, 0.429, 0.255) and C at (0.250, 0.285, 0.752).

***

Here is a relaxed Hf2C2Se crystal from Alexandria. Energies are from PBE.

The total energy comes out at -8.53 eV per atom. The total moment comes out at 0.0 μB per formula unit. As for the density of states at the Fermi level: 3.4 states/eV per cell. The value obtained for the offset from the most stable computed form is 0.12 eV per formula unit.

The space group is I4/mmm (No. 139) and the conventional cell measures 3.604, 3.604 and 12.191 Å, with angles of 90.00, 90.00 and 90.00 degrees. The inequivalent atoms are Hf at (0.000, 0.000, 0.149), C at (0.000, 0.500, 0.250) and Se at (0.000, 0.000, 0.500).